Record 1
Tb4Nd3Ho: relaxed, PBE.

Cell lengths 3.4873, 6.8017, 11.9598 Å; angles 106.57, 98.38, 90.00 degrees
Element x y z (fractional)
Tb  0.1247  0.3656  0.2494
Tb  0.2592  0.7520  0.5185
Tb  0.7408  0.2480  0.4815
Tb  0.8753  0.6344  0.7506
Nd  0.0000  0.5000  0.0000
Nd  0.1260  0.8829  0.2520
Nd  0.8740  0.1171  0.7480
Ho  0.5000  0.0000  0.0000

The value obtained for the total energy is -36.1 eV/cell. Its formation enthalpy at 0 K is 158 meV/atom. Its space-group type is C2/m (12).

Record 2
TaAlSe2N: relaxed, PBE.

Cell lengths 5.1875, 3.8958, 5.1875 Å; angles 90.00, 90.00, 90.00 degrees
Element x y z (fractional)
Se  0.5000  0.0000  0.0000
Se  0.0000  0.0000  0.5000
Al  0.5000  0.5000  0.5000
Ta  0.0000  0.0000  0.0000
N  0.0000  0.5000  0.0000

Its energy relative to the elements, uncorrected is -52.1 meV/atom. The value obtained for the total energy is -31.2 eV/cell. Its space-group type is P4/mmm (123).

Record 3
SrCeAgIr: relaxed, PBE.

Cell lengths 5.1588, 5.1588, 5.1588 Å; angles 60.00, 60.00, 60.00 degrees
Last column: magnetic moment on the atom in μB.
Element x y z (fractional)
Ir  0.5000  0.5000  0.5000  -0.06
Ag  0.0000  0.0000  0.0000  0.01
Ce  0.2500  0.2500  0.2500  0.75
Sr  0.7500  0.7500  0.7500  0.02

The value obtained for the total energy is -20.2 eV/cell. Its formation enthalpy at 0 K is -215 meV/atom. Its space-group type is F-43m (216).

Record 4
Sr2MgP2N6: relaxed, PBE.

Cell lengths 5.6433, 5.6433, 6.5785 Å; angles 64.60, 64.60, 60.00 degrees
Element x y z (fractional)
N  0.2547  0.2547  0.7535
N  0.7370  0.2547  0.7535
N  0.7453  0.2630  0.2465
N  0.2630  0.7453  0.2465
N  0.7453  0.7453  0.2465
N  0.2547  0.7370  0.7535
Sr  0.7916  0.7916  0.6251
Sr  0.2084  0.2084  0.3749
P  0.4142  0.4142  0.7575
P  0.5858  0.5858  0.2425
Mg  0.0000  0.0000  0.0000

Its energy relative to the elements, uncorrected is -524.4 meV/atom. The value obtained for the total energy is -71.5 eV/cell. Its space-group type is R-3m (166).

Record 5
TbPm4Nd3S8: relaxed, PBE.

Cell lengths 8.0737, 8.0677, 8.0733 Å; angles 120.02, 120.00, 90.00 degrees
Element x y z (fractional)
Tb  0.0000  0.5000  0.0000
Pm  0.0000  0.0000  0.0000
Pm  0.5000  0.0000  0.5000
Pm  0.0000  0.0000  0.5000
Pm  0.5000  0.0000  0.0000
S  0.2488  0.2465  0.4977
S  0.7561  0.7484  0.0023
S  0.2461  0.7484  0.4922
S  0.2461  0.7484  0.0023
S  0.7539  0.2516  0.5078
S  0.7512  0.7535  0.5023
S  0.7539  0.2516  0.9977
S  0.2439  0.2516  0.9977
Nd  0.0000  0.5000  0.5000
Nd  0.5000  0.5000  0.5000
Nd  0.5000  0.5000  0.0000

Its energy relative to the elements, uncorrected is -2021.2 meV/atom. The value obtained for the total energy is -103.3 eV/cell. Its space-group type is R-3m (166).

Record 6
Tb12Al3Te5: relaxed, PBE.

Cell lengths 15.3824, 15.3824, 15.3824 Å; angles 109.47, 109.47, 109.47 degrees
Last column: magnetic moment on the atom in μB.
Element x y z (fractional)
Tb  0.2731  0.8588  0.9381  0.14
Tb  0.6412  0.5793  0.9143  0.14
Tb  0.5793  0.9381  0.6650  0.14
Tb  0.9381  0.5793  0.1650  0.14
Tb  0.2269  0.6650  0.0857  0.14
Tb  0.3350  0.5619  0.4207  0.14
Tb  0.3588  0.9381  0.7731  0.14
Tb  0.1412  0.4143  0.0793  0.14
Tb  0.4143  0.1412  0.5793  0.14
Tb  0.0793  0.1650  0.4381  0.14
Tb  0.4143  0.2731  0.3350  0.14
Tb  0.9143  0.0793  0.6412  0.14
Tb  0.6412  0.0619  0.2269  0.14
Tb  0.4381  0.6650  0.0793  0.14
Tb  0.0857  0.9207  0.3588  0.14
Tb  0.0619  0.4207  0.8350  0.14
Tb  0.0857  0.1650  0.2269  0.14
Tb  0.3350  0.7731  0.4143  0.14
Tb  0.0619  0.6412  0.7269  0.14
Tb  0.7731  0.3350  0.9143  0.14
Tb  0.5619  0.3350  0.9207  0.14
Tb  0.4207  0.3588  0.5857  0.14
Tb  0.9207  0.8350  0.5619  0.14
Tb  0.9207  0.0857  0.8588  0.14
Tb  0.5857  0.8588  0.4207  0.14
Tb  0.7269  0.5857  0.1650  0.14
Tb  0.7269  0.1412  0.0619  0.14
Tb  0.7731  0.4381  0.3588  0.14
Tb  0.2731  0.4143  0.8350  0.14
Tb  0.9143  0.8350  0.7731  0.14
Tb  0.8588  0.2731  0.4381  0.14
Tb  0.4207  0.0619  0.3350  0.14
Tb  0.8350  0.9207  0.0619  0.14
Tb  0.9381  0.3588  0.2731  0.14
Tb  0.3588  0.4207  0.0857  0.14
Tb  0.6650  0.4381  0.5793  0.14
Tb  0.5793  0.6412  0.4143  0.14
Tb  0.6650  0.2269  0.5857  0.14
Tb  0.8350  0.9143  0.2731  0.14
Tb  0.4381  0.7731  0.8588  0.14
Tb  0.1650  0.0857  0.7269  0.14
Tb  0.2269  0.5619  0.6412  0.14
Tb  0.1650  0.0793  0.9381  0.14
Tb  0.5857  0.7269  0.6650  0.14
Tb  0.5619  0.2269  0.1412  0.14
Tb  0.1412  0.7269  0.5619  0.14
Tb  0.8588  0.5857  0.9207  0.14
Tb  0.0793  0.9143  0.1412  0.14
Al  0.1250  0.2500  0.8750  -0.01
Al  0.7500  0.8750  0.6250  -0.01
Al  0.1250  0.8750  0.7500  -0.01
Al  0.3750  0.7500  0.6250  -0.01
Al  0.8750  0.1250  0.2500  -0.01
Al  0.6250  0.2500  0.3750  -0.01
Al  0.6250  0.3750  0.7500  -0.01
Al  0.7500  0.3750  0.1250  -0.01
Al  0.2500  0.1250  0.3750  -0.01
Al  0.8750  0.7500  0.1250  -0.01
Al  0.2500  0.6250  0.8750  -0.01
Al  0.3750  0.6250  0.2500  -0.01
Te  0.5000  0.5000  0.5000  -0.01
Te  0.0000  0.5000  0.0000  -0.01
Te  0.5000  0.5000  0.0000  -0.01
Te  0.2500  0.8750  0.1250  0.00
Te  0.1250  0.7500  0.3750  0.00
Te  0.0000  0.0000  0.5000  -0.01
Te  0.5000  0.0000  0.0000  -0.01
Te  0.7500  0.1250  0.8750  0.00
Te  0.0000  0.0000  0.0000  -0.01
Te  0.5000  0.0000  0.5000  -0.01
Te  0.6250  0.8750  0.2500  0.00
Te  0.3750  0.2500  0.1250  0.00
Te  0.8750  0.6250  0.7500  0.00
Te  0.3750  0.1250  0.7500  0.00
Te  0.6250  0.7500  0.8750  0.00
Te  0.8750  0.2500  0.6250  0.00
Te  0.2500  0.3750  0.6250  0.00
Te  0.7500  0.6250  0.3750  0.00
Te  0.0000  0.5000  0.5000  -0.01
Te  0.1250  0.3750  0.2500  0.00

Its energy relative to the elements, uncorrected is -386.6 meV/atom. The value obtained for the total energy is -360.9 eV/cell. Its space-group type is Ia-3d (230).

Record 7
Pm4Sb2O: relaxed, PBE.

Cell lengths 6.6555, 6.7552, 9.1888 Å; angles 90.00, 108.65, 90.00 degrees
Element x y z (fractional)
O  0.7059  0.2500  0.7932
O  0.2941  0.7500  0.2068
Pm  0.9313  0.2500  0.6530
Pm  0.5277  0.4982  0.2946
Pm  0.4723  0.5018  0.7054
Pm  0.0687  0.7500  0.3470
Pm  0.1539  0.7500  0.9472
Pm  0.8461  0.2500  0.0528
Pm  0.4723  0.9982  0.7054
Pm  0.5277  0.0018  0.2946
Sb  0.8228  0.7500  0.5950
Sb  0.2998  0.2500  0.9709
Sb  0.1772  0.2500  0.4050
Sb  0.7002  0.7500  0.0291

Its energy relative to the elements, uncorrected is -1430.1 meV/atom. The value obtained for the total energy is -84.4 eV/cell. Its space-group type is P2_1/m (11).

Record 8
BeAlNi4: relaxed, PBE.

Cell lengths 4.6277, 4.6277, 4.6277 Å; angles 60.00, 60.00, 60.00 degrees
Last column: magnetic moment on the atom in μB.
Element x y z (fractional)
Ni  0.8757  0.3748  0.3748  0.20
Ni  0.3748  0.3748  0.8757  0.20
Ni  0.3748  0.8757  0.3748  0.20
Ni  0.3748  0.3748  0.3748  0.20
Be  0.0000  0.0000  0.0000  0.00
Al  0.7500  0.7500  0.7500  0.00

The value obtained for the total energy is -30.8 eV/cell. Its formation enthalpy at 0 K is -37 meV/atom. Its space-group type is F-43m (216).

Table of total magnetization (μB/f.u.), in record order: 0.0, 0.0, 0.9, 0.0, 0.0, 2.2, 0.0, 0.8